[1]
Material: AlOsCl3
Method: DFT, PBE
State: optimized geometry

- Energy: -19.223 eV/cell
- D(E_F): 2.053 states/eV per atom
- Formation energy (no corrections): 0.2579 eV/atom
- M_tot: 1.29 μB/cell

Unit cell a=4.864 b=4.864 c=4.864 alpha=90.00 beta=90.00 gamma=90.00
Space group Pm-3m (No. 221)
Unique sites:
Al1 0.000 0.000 0.000 [1 per cell]
Os1 0.500 0.500 0.500 [1 per cell]
Cl1 0.000 0.500 0.500 [3 per cell]



[2]
Material: Y3SiSb
Method: DFT, PBE
State: optimized geometry

- Energy: -31.162 eV/cell
- D(E_F): 0.789 states/eV per atom
- Formation energy (no corrections): -0.4449 eV/atom
- M_tot: 0.00 μB/cell

Unit cell a=5.318 b=5.318 c=5.318 alpha=90.00 beta=90.00 gamma=90.00
Space group Pm-3m (No. 221)
Unique sites:
Y1 0.000 0.000 0.500 [3 per cell]
Si1 0.000 0.000 0.000 [1 per cell]
Sb1 0.500 0.500 0.500 [1 per cell]



[3]
Material: BeBiH
Method: DFT, PBE
State: optimized geometry

- Energy: -40.979 eV/cell
- D(E_F): 0.125 states/eV per atom
- M_tot: 0.00 μB/cell

Unit cell a=4.372 b=9.461 c=4.846 alpha=90.00 beta=90.00 gamma=90.00
Space group Imma (No. 74)
Unique sites:
Be1 0.250 0.250 0.250 [4 per cell]
Bi1 0.000 0.000 0.000 [4 per cell]
H1 0.000 0.250 0.448 [4 per cell]



[4]
Material: Pu2CrTc3
Method: DFT, PBE
State: optimized geometry

- Formation energy from the elements: 0.071 eV/atom
- Energy: -137.913 eV/cell
- D(E_F): 2.188 states/eV per atom
- M_tot: 15.25 μB/cell

Unit cell a=8.402 b=5.695 c=5.698 alpha=90.00 beta=129.26 gamma=90.00
Space group C2/m (No. 12)
Unique sites:
Pu1 0.125 0.000 0.377 [4 per cell]
Cr1 0.000 0.500 0.000 [2 per cell]
Tc1 0.000 0.500 0.500 [2 per cell]
Tc2 0.250 0.250 0.000 [4 per cell]



[5]
Material: SmGeO2
Method: DFT, PBE
State: optimized geometry

- Energy: -71.810 eV/cell
- D(E_F): 0.657 states/eV per atom
- Formation energy (no corrections): -1.1710 eV/atom
- M_tot: 0.00 μB/cell

Unit cell a=3.4390 b=3.4390 c=20.0036 alpha=90.00 beta=90.00 gamma=120.00
Space group R-3m (No. 166, hexagonal axes)
Unique sites:
Sm1 0.0000 0.0000 0.0000 [3 per cell]
Ge1 0.0000 0.0000 0.5000 [3 per cell]
O1 0.0000 0.0000 0.1132 [6 per cell]



[6]
Material: ScNbCo3
Method: DFT, PBE
State: optimized geometry

- Formation energy from the elements: 1.134 eV/atom
- Energy: -32.048 eV/cell
- D(E_F): 1.643 states/eV per atom
- M_tot: 1.01 μB/cell

Unit cell a=4.270 b=4.270 c=4.270 alpha=90.00 beta=90.00 gamma=90.00
Space group Pm-3m (No. 221)
Unique sites:
Sc1 0.000 0.000 0.000 [1 per cell]
Nb1 0.500 0.500 0.500 [1 per cell]
Co1 0.000 0.000 0.500 [3 per cell]



[7]
Material: Cs2RbPaCl8
Method: DFT, PBE
State: optimized geometry

- Energy: -49.777 eV/cell
- Formation energy (no corrections): -1.9028 eV/atom
- M_tot: 0.00 μB/cell

Unit cell a=6.112 b=10.635 c=8.220 alpha=90.00 beta=103.78 gamma=90.00
Space group P2/m (No. 10)
Unique sites:
Cs1 0.000 0.233 0.000 [2 per cell]
Rb1 0.500 0.000 0.500 [1 per cell]
Pa1 0.500 0.500 0.500 [1 per cell]
Cl1 0.002 0.000 0.742 [2 per cell]
Cl2 0.106 0.500 0.304 [2 per cell]
Cl3 0.402 0.326 0.688 [4 per cell]



[8]
Material: Pb3BrN
Method: DFT, PBE
State: optimized geometry

- Energy: -19.108 eV/cell
- D(E_F): 0.923 states/eV per atom
- Formation energy (no corrections): 0.4031 eV/atom
- M_tot: 0.00 μB/cell

Unit cell a=5.196 b=5.196 c=5.196 alpha=90.00 beta=90.00 gamma=90.00
Space group Pm-3m (No. 221)
Unique sites:
Pb1 0.000 0.000 0.500 [3 per cell]
Br1 0.500 0.500 0.500 [1 per cell]
N1 0.000 0.000 0.000 [1 per cell]



[9]
Material: Tb6Dy2ErSc
Method: DFT, PBE
State: optimized geometry

- Formation energy from the elements: 0.126 eV/atom
- Energy: -186.489 eV/cell
- D(E_F): 1.298 states/eV per atom
- M_tot: 0.00 μB/cell

Unit cell a=9.023 b=14.842 c=9.439 alpha=90.00 beta=97.71 gamma=90.00
Space group C2/c (No. 15)
Unique sites:
Tb1 0.060 0.186 0.445 [8 per cell]
Tb2 0.101 0.394 0.617 [8 per cell]
Tb3 0.214 0.220 0.810 [8 per cell]
Dy1 0.249 0.449 0.954 [8 per cell]
Er1 0.000 0.022 0.750 [4 per cell]
Sc1 0.000 0.413 0.250 [4 per cell]



[10]
Material: PaZn2Pt
Method: DFT, PBE
State: optimized geometry

- Formation energy from the elements: -0.523 eV/atom
- Energy: -40.356 eV/cell
- D(E_F): 1.200 states/eV per atom
- M_tot: 0.00 μB/cell

Unit cell a=4.501 b=6.655 c=5.386 alpha=90.00 beta=114.61 gamma=90.00
Space group P2_1/m (No. 11)
Unique sites:
Pa1 0.095 0.250 0.190 [2 per cell]
Zn1 0.377 0.056 0.753 [4 per cell]
Pt1 0.194 0.750 0.390 [2 per cell]



[11]
Material: Na2VRu
Method: DFT, PBE
State: optimized geometry

- Formation energy from the elements: 1.137 eV/atom
- Energy: -65.936 eV/cell
- D(E_F): 1.089 states/eV per atom
- M_tot: 7.37 μB/cell

Unit cell a=8.237 b=8.237 c=4.819 alpha=90.00 beta=90.00 gamma=90.00
Space group I-42d (No. 122)
Unique sites:
Na1 0.229 0.750 0.125 [8 per cell]
V1 0.000 0.000 0.500 [4 per cell]
Ru1 0.000 0.000 0.000 [4 per cell]



[12]
Material: Re2HgAs
Method: DFT, PBE
State: optimized geometry

- Formation energy from the elements: 0.981 eV/atom
- Energy: -25.923 eV/cell
- D(E_F): 1.092 states/eV per atom
- M_tot: 0.00 μB/cell

Unit cell a=3.000 b=4.714 c=4.811 alpha=90.00 beta=90.00 gamma=90.00
Space group Pmmm (No. 47)
Unique sites:
Re1 0.000 0.000 0.000 [1 per cell]
Re2 0.500 0.000 0.500 [1 per cell]
Hg1 0.000 0.500 0.500 [1 per cell]
As1 0.500 0.500 0.000 [1 per cell]